Ce2TiAs4Rh3, relaxed, DFT GGA-PBE; E_tot = -6.978 eV/atom; E_form = -0.937 eV per atom
1.0
4.304 0.000 0.000
0.000 4.304 0.000
0.000 0.000 10.178
Rh Ti As Ce
3 1 4 2
Cartesian
0.000 2.152 1.195
0.000 0.000 5.089
2.152 0.000 8.983
2.152 2.152 5.089
0.000 0.000 0.000
0.000 2.152 3.666
2.152 0.000 6.512
2.152 2.152 0.000
2.152 0.000 2.404
0.000 2.152 7.774

=====

Tl2CuTeSe4, relaxed, DFT GGA-PBE; energy relative to the elements, uncorrected = -0.109 eV per atom; E_tot = -3.347 eV/atom
1.0
-0.401 -1.057 5.708
-5.887 -4.962 1.633
6.698 -9.075 1.755
Tl Se Cu Te
4 8 2 2
Cartesian
4.118 -5.878 2.166
2.180 -4.254 5.297
-2.475 -4.615 6.386
2.685 -11.008 5.564
-1.968 -7.223 4.360
4.412 -9.049 3.178
0.709 -12.657 7.990
-0.486 -2.931 3.776
0.591 -4.880 2.199
-0.194 -10.248 7.081
-3.814 -5.550 3.249
2.391 -7.837 4.552
-0.200 -0.529 2.854
0.305 -7.283 3.121
0.000 0.000 0.000
0.105 -7.812 5.975

=====

AcLaCdOs, relaxed, DFT GGA-PBE; E_tot = -5.276 eV/atom; E_form = 0.019 eV per atom
1.0
-2.140 -4.720 -1.358
-1.140 -3.614 3.787
-5.103 -1.079 1.224
Ac La Cd Os
1 1 1 1
Cartesian
-2.096 -2.353 0.913
-6.287 -7.060 2.739
-4.192 -4.707 1.826
0.000 0.000 0.000

=====

Ca2C2Cl, relaxed, DFT GGA-PBE; energy relative to the elements, uncorrected = -0.536 eV per atom; E_tot = -5.395 eV/atom
1.0
-2.871 2.026 6.090
-2.055 -6.611 1.230
2.965 -0.623 1.605
C Ca Cl
4 4 2
Cartesian
-1.081 -2.735 0.936
-3.845 -1.850 6.385
-3.165 -5.295 3.792
-1.761 0.710 3.528
-2.171 -4.185 6.048
-0.529 -4.532 2.879
-1.432 -0.675 6.046
0.210 -1.023 2.877
0.000 0.000 0.000
-2.463 -2.292 3.660

=====

Ba8Mg2Tl, relaxed, DFT GGA-PBE; E above lowest polymorph = 0.00 eV/f.u.; E_tot = -1.977 eV/atom; E_form = -0.074 eV per atom
1.0
6.254 0.000 0.000
0.000 8.682 0.053
-3.127 -3.656 10.157
Ba Tl Mg
8 1 2
Cartesian
3.127 3.881 6.113
3.127 -1.671 9.616
3.127 3.104 1.937
0.000 1.922 8.273
0.000 1.146 4.097
0.000 -2.097 6.818
0.000 6.697 0.594
3.127 7.123 3.392
3.127 0.000 0.000
3.127 0.279 6.475
0.000 4.747 3.735

=====

MgTl2Cd, relaxed, DFT GGA-PBE; E above lowest polymorph = 0.35 eV/f.u.; E_tot = -1.730 eV/atom; E_form = 0.081 eV per atom
1.0
-2.303 4.644 1.247
-4.572 0.057 2.743
-0.052 1.676 5.061
Cd Tl Mg
1 2 1
Cartesian
-3.463 3.189 4.525
-1.732 1.594 2.263
0.000 0.000 0.000
-5.195 4.783 6.788